# 1
# ZnSiW2

A relaxed structure of ZnSiW2 (PBE, Alexandria via LeMat-Bulk).

The relative energy among the computed polymorphs comes out at 183.9 meV per atom. As for the space group: No. 160.

Geometry as extended XYZ:
```
4
Lattice="-6.330 -6.525 0.560 -4.815 -7.571 -1.573 -4.046 -8.088 1.088" Properties=species:S:1:pos:R:3 pbc="T T T"
Si -11.384 -16.626 0.057
W -0.069 -0.100 0.000
W -3.783 -5.524 0.019
Zn -7.550 -11.026 0.038
```

***

# 2
# ZnSiW2

A relaxed structure of ZnSiW2 (PBE, Alexandria via LeMat-Bulk).

The relative energy among the computed polymorphs comes out at 280.9 meV per atom. As for the space group: No. 99.

Geometry as extended XYZ:
```
4
Lattice="-2.118 -0.922 -1.374 1.655 -1.188 -1.754 -0.018 -7.235 4.883" Properties=species:S:1:pos:R:3 pbc="T T T"
Si -0.246 -6.577 2.162
W -0.018 -7.173 4.841
W -0.236 -2.890 -0.326
Zn -0.009 -3.557 2.401
```

***

# 3
# ZnSiW2

A relaxed structure of ZnSiW2 (PBE, Alexandria via LeMat-Bulk).

The relative energy among the computed polymorphs comes out at 247.9 meV per atom. As for the space group: No. 47.

Geometry as extended XYZ:
```
4
Lattice="2.716 0.000 0.000 0.000 3.957 0.000 0.000 0.000 5.521" Properties=species:S:1:pos:R:3 pbc="T T T"
Si 1.358 1.979 4.140
W 0.000 0.000 5.472
W 0.000 0.000 2.808
Zn 1.358 1.979 1.380
```

***

# 4
# ZnSiW2

A relaxed structure of ZnSiW2 (PBE, Alexandria via LeMat-Bulk).

The relative energy among the computed polymorphs comes out at 244.5 meV per atom. As for the space group: No. 123.

Geometry as extended XYZ:
```
4
Lattice="-0.908 2.327 -1.177 -2.586 -0.641 0.726 0.954 3.782 6.743" Properties=species:S:1:pos:R:3 pbc="T T T"
Si -1.031 3.679 4.832
W 0.941 3.729 6.649
W 0.490 1.944 3.466
Zn -1.508 1.788 1.460
```

***

# 5
# ZnSiW

A relaxed structure of ZnSiW (PBE, Alexandria via LeMat-Bulk).

The relative energy among the computed polymorphs comes out at 168.4 meV per atom. As for the space group: No. 107.

Geometry as extended XYZ:
```
3
Lattice="6.566 -0.001 0.000 5.455 3.654 0.000 -6.010 -1.827 1.910" Properties=species:S:1:pos:R:3 pbc="T T T"
Si 11.939 3.628 0.000
W 4.045 1.229 0.000
Zn 8.057 2.449 0.000
```

***

# 6
# ZnSiW2

A relaxed structure of ZnSiW2 (PBE, Alexandria via LeMat-Bulk).

The relative energy among the computed polymorphs comes out at 132.4 meV per atom. As for the space group: No. 166.

Geometry as extended XYZ:
```
4
Lattice="8.948 0.000 0.000 8.503 2.784 0.000 8.503 1.357 2.431" Properties=species:S:1:pos:R:3 pbc="T T T"
Si 19.466 3.106 1.824
W 0.083 0.013 0.008
W 12.894 2.057 1.208
Zn 6.489 1.035 0.608
```

***

# 7
# ZnSiW

A relaxed structure of ZnSiW (PBE, Alexandria via LeMat-Bulk).

The relative energy among the computed polymorphs comes out at 46.4 meV per atom. As for the space group: No. 187.

Geometry as extended XYZ:
```
3
Lattice="-1.912 3.882 -0.252 0.373 -2.467 -3.544 -2.316 -1.106 0.526" Properties=species:S:1:pos:R:3 pbc="T T T"
Si -1.930 -0.922 0.439
W -1.922 1.397 -1.174
Zn -2.318 -1.272 -2.008
```

***

# 8
# ZnSiW2

A relaxed structure of ZnSiW2 (PBE, Alexandria via LeMat-Bulk).

The relative energy among the computed polymorphs comes out at 105.1 meV per atom. As for the space group: No. 10.

Geometry as extended XYZ:
```
4
Lattice="4.162 0.000 0.000 0.000 2.734 0.003 0.000 1.007 5.245" Properties=species:S:1:pos:R:3 pbc="T T T"
Si 2.081 2.806 3.936
W 0.000 3.672 5.236
W 0.000 1.940 2.635
Zn 2.081 0.935 1.312
```

***

# 9
# ZnSi2W

A relaxed structure of ZnSi2W (PBE, Alexandria via LeMat-Bulk).

As for the space group: No. 12.

Geometry as extended XYZ:
```
4
Lattice="5.210 -0.022 -0.028 -1.844 4.873 -0.028 0.903 1.302 2.343" Properties=species:S:1:pos:R:3 pbc="T T T"
Si 0.000 0.000 0.000
Si 1.683 2.426 -0.028
W 3.057 0.640 1.157
Zn -0.470 3.088 1.157
```

***

# 10
# ZnSiW

A relaxed structure of ZnSiW (PBE, Alexandria via LeMat-Bulk).

The relative energy among the computed polymorphs comes out at 137.7 meV per atom. As for the space group: No. 42.

Geometry as extended XYZ:
```
3
Lattice="-0.492 -6.707 -0.113 0.615 -6.118 2.322 -2.643 -0.526 0.489" Properties=species:S:1:pos:R:3 pbc="T T T"
Si 0.105 -12.745 2.197
W -1.706 -4.690 1.071
Zn -0.796 -8.740 1.637
```

***

# 11
# ZnSiW

A relaxed structure of ZnSiW (PBE, Alexandria via LeMat-Bulk).

The relative energy among the computed polymorphs comes out at 44.8 meV per atom. As for the space group: No. 129.

Geometry as extended XYZ:
```
6
Lattice="-0.490 3.478 -0.742 -0.747 0.631 3.454 6.544 1.177 1.200" Properties=species:S:1:pos:R:3 pbc="T T T"
Zn 0.000 0.000 0.000
Zn -0.618 2.055 1.356
Si 4.270 1.151 2.578
Si 1.655 2.081 -0.023
W 1.854 0.716 2.135
W 4.072 2.515 0.421
```

***

# 12
# Zn2Si2W

A relaxed structure of Zn2Si2W (PBE, Alexandria via LeMat-Bulk).

The relative energy among the computed polymorphs comes out at 284.0 meV per atom. As for the space group: No. 127.

Geometry as extended XYZ:
```
10
Lattice="-4.182 1.849 -4.946 -5.012 0.594 4.460 0.805 3.127 0.488" Properties=species:S:1:pos:R:3 pbc="T T T"
Zn -5.948 1.212 2.048
Zn -6.792 1.989 -1.534
Zn -3.246 1.232 -2.534
Zn -2.402 0.455 1.048
Si -3.743 2.296 2.388
Si -6.553 3.306 0.554
Si -4.646 3.274 -2.385
Si -1.836 2.264 -0.551
W 0.000 0.000 0.000
W -4.597 1.222 -0.243
```

***

# 13
# ZnSiW2

A relaxed structure of ZnSiW2 (PBE, Alexandria via LeMat-Bulk).

The relative energy among the computed polymorphs comes out at 88.8 meV per atom. As for the space group: No. 6.

Geometry as extended XYZ:
```
4
Lattice="-2.165 -1.865 -3.318 0.962 -2.433 0.740 -3.595 -1.508 3.193" Properties=species:S:1:pos:R:3 pbc="T T T"
Si -3.223 -3.480 1.170
W -3.511 -1.554 3.165
W -1.814 -1.939 -0.616
Zn -1.162 -2.312 2.058
```

***

# 14
# ZnSi2W

A relaxed structure of ZnSi2W (PBE, Alexandria via LeMat-Bulk).

As for the space group: No. 166.

Geometry as extended XYZ:
```
4
Lattice="7.996 -0.006 -0.003 7.427 2.963 -0.003 7.427 1.424 2.598" Properties=species:S:1:pos:R:3 pbc="T T T"
Si 22.766 4.365 2.582
Si 11.509 2.207 1.305
W 5.712 1.095 0.648
Zn 17.137 3.286 1.943
```

***

# 15
# ZnSi2W

A relaxed structure of ZnSi2W (PBE, Alexandria via LeMat-Bulk).

As for the space group: No. 65.

Geometry as extended XYZ:
```
4
Lattice="4.482 0.596 0.000 -0.603 4.481 0.000 0.000 0.000 2.836" Properties=species:S:1:pos:R:3 pbc="T T T"
Si 0.000 0.000 0.000
Si 1.940 2.539 0.000
W 2.241 0.298 1.418
Zn -0.301 2.240 1.418
```

***

# 16
# ZnSiW

A relaxed structure of ZnSiW (PBE, Alexandria via LeMat-Bulk).

The relative energy among the computed polymorphs comes out at 0.0 meV per atom. As for the space group: No. 44.

Geometry as extended XYZ:
```
3
Lattice="-2.889 3.334 2.069 -3.739 -1.032 2.949 4.758 -0.616 -0.846" Properties=species:S:1:pos:R:3 pbc="T T T"
Si -6.627 2.302 5.017
W -2.246 0.780 1.701
Zn -4.382 1.522 3.318
```

***

# 17
# ZnSi2W

A relaxed structure of ZnSi2W (PBE, Alexandria via LeMat-Bulk).

As for the space group: No. 8.

Geometry as extended XYZ:
```
4
Lattice="-0.562 -4.930 0.038 1.584 -4.391 1.681 -2.722 0.108 3.521" Properties=species:S:1:pos:R:3 pbc="T T T"
Si 0.960 -9.303 1.794
Si -1.200 -7.026 3.870
W -0.904 -4.584 2.683
Zn -0.383 -2.228 1.231
```

***

# 18
# ZnSi2W

A relaxed structure of ZnSi2W (PBE, Alexandria via LeMat-Bulk).

As for the space group: No. 122.

Geometry as extended XYZ:
```
8
Lattice="6.037 0.000 0.000 0.000 6.037 0.000 3.019 3.019 4.685" Properties=species:S:1:pos:R:3 pbc="T T T"
Zn 3.019 3.019 0.000
Zn 3.019 6.037 2.342
Si 4.561 1.509 1.171
Si 1.476 4.528 1.171
Si 4.528 4.495 3.514
Si 7.546 7.579 3.514
W 0.000 0.000 0.000
W 6.037 3.019 2.342
```

***

# 19
# ZnSi2W

A relaxed structure of ZnSi2W (PBE, Alexandria via LeMat-Bulk).

As for the space group: No. 99.

Geometry as extended XYZ:
```
4
Lattice="3.375 0.000 0.000 0.000 3.375 0.000 0.000 0.000 5.049" Properties=species:S:1:pos:R:3 pbc="T T T"
Si 0.000 0.000 4.985
Si 1.687 1.687 1.344
W 0.000 0.000 2.408
Zn 1.687 1.687 3.884
```

***

# 20
# ZnSi2W

A relaxed structure of ZnSi2W (PBE, Alexandria via LeMat-Bulk).

As for the space group: No. 160.

Geometry as extended XYZ:
```
4
Lattice="-1.064 0.327 8.174 -0.869 -2.562 7.793 1.557 -0.955 8.044" Properties=species:S:1:pos:R:3 pbc="T T T"
Si -0.374 -3.178 23.915
Si -0.095 -0.810 6.093
W -0.189 -1.609 12.106
Zn -0.280 -2.380 17.915
```

***

Q: Which energy relative to the elements, uncorrected values were calculated for the entries above? A: 0.299; 0.396; 0.363; 0.360; 0.385; 0.247; 0.263; 0.220; 0.322; 0.354; 0.261; 0.554; 0.204; 0.158; 0.290; 0.216; 0.201; 0.928; 0.050; 0.330, in eV/atom.